Computed, not measured: a geometry-optimized NaSc3Ga structure at the PBE level of DFT.

Total energy (eV per cell): -18.51
Fermi-level density of states (states/eV per atom): 1.15
Total moment (μB/f.u.): 2.50
Energy of formation (kJ/mol of atoms): 93.3
Relative energy among the computed polymorphs (kJ per mole of atoms): 71.2

Lattice parameters (Å, degrees): 5.0832 5.0832 5.0832 90.00 90.00 90.00
Element x y z (fractional)
Na 0.0000 0.0000 0.0000
Sc 0.0000 0.0000 0.5000
Sc 0.0000 0.5000 0.0000
Sc 0.5000 0.0000 0.0000
Ga 0.5000 0.5000 0.5000

Computed, not measured: a geometry-optimized MgZrIn3 structure at the PBE level of DFT.

Total energy (eV per cell): -15.45
Fermi-level density of states (states/eV per atom): 1.10
Total moment (μB/f.u.): 0.00
Energy of formation (kJ/mol of atoms): 56.1
Relative energy among the computed polymorphs (kJ per mole of atoms): 0.0

Lattice parameters (Å, degrees): 5.5990 5.5990 5.5990 90.00 90.00 90.00
Element x y z (fractional)
Mg 0.0000 0.0000 0.0000
Zr 0.5000 0.5000 0.5000
In 0.0000 0.5000 0.5000
In 0.5000 0.0000 0.5000
In 0.5000 0.5000 0.0000

Computed, not measured: a geometry-optimized RbHfTc2 structure at the PBE level of DFT.

Total energy (eV per cell): -51.62
Fermi-level density of states (states/eV per atom): 1.32
Total moment (μB/f.u.): 0.00
Energy of formation (kJ/mol of atoms): 140.9
Relative energy among the computed polymorphs (kJ per mole of atoms): 4.0

Lattice parameters (Å, degrees): 9.8615 9.8615 9.8615 151.02 151.02 41.45
Element x y z (fractional)
Rb 0.0000 0.0000 0.0000
Rb 0.7500 0.2500 0.5000
Hf 0.2500 0.7500 0.5000
Hf 0.5000 0.5000 0.0000
Tc 0.3296 0.6250 0.2046
Tc 0.3750 0.5796 0.7046
Tc 0.4204 0.1250 0.7954
Tc 0.8750 0.6704 0.2954

Computed, not measured: a geometry-optimized KNa2AcI6 structure at the PBE level of DFT.

Energy relative to the elements, uncorrected (eV per atom): -1.41
Total energy (eV per cell): -31.25
Fermi-level density of states (states/eV per atom): 0.00
Total moment (μB/f.u.): 0.00

Lattice parameters (Å, degrees): 9.0171 9.0171 9.0171 55.21 55.21 55.21
Element x y z (fractional)
K 0.0000 0.0000 0.0000
Na 0.2968 0.2968 0.2968
Na 0.8054 0.8054 0.8054
Ac 0.4885 0.4885 0.4885
I 0.0762 0.6685 0.4386
I 0.2096 0.5690 0.8958
I 0.4386 0.0762 0.6685
I 0.5690 0.8958 0.2096
I 0.6685 0.4386 0.0762
I 0.8958 0.2096 0.5690